No. 1
Compound: VF5
Source: Alexandria via LeMat-Bulk
Functional: GGA-PBEsol
Structure: relaxed

Lattice parameters (Å, degrees): 8.779 6.179 6.101 90.00 106.86 90.00
Space group C2/c (No. 15)
Symmetry-distinct sites (fractional):
V (0.000, 0.097, 0.250) (multiplicity 4)
F (0.000, 0.376, 0.250) (multiplicity 4)
F (0.001, 0.169, 0.942) (multiplicity 8)
F (0.204, 0.057, 0.335) (multiplicity 8)

Values from the calculation:
The value obtained for the formation energy (no corrections) is -2657 meV/atom. For the magnetization, the calculation gives 0.000 μB per atom.

***

No. 2
Compound: ScAs2PdSe
Source: Alexandria via LeMat-Bulk
Functional: GGA-PBEsol
Structure: relaxed

Lattice parameters (Å, degrees): 4.974 4.974 4.906 90.00 90.00 90.00
Space group P4/mmm (No. 123)
Symmetry-distinct sites (fractional):
Sc (0.000, 0.000, 0.000) (multiplicity 1)
As (0.000, 0.500, 0.000) (multiplicity 2)
Pd (0.500, 0.500, 0.500) (multiplicity 1)
Se (0.000, 0.000, 0.500) (multiplicity 1)

Values from the calculation:
The value obtained for the formation energy (no corrections) is 393 meV/atom. For the magnetization, the calculation gives 0.000 μB per atom.

***

No. 3
Compound: LaMg2Cd
Source: Alexandria via LeMat-Bulk
Functional: GGA-PBEsol
Structure: relaxed

Lattice parameters (Å, degrees): 3.2553 3.2553 32.7469 90.00 90.00 120.00
Space group R-3m (No. 166, hexagonal axes)
Symmetry-distinct sites (fractional):
La (0.0000, 0.0000, 0.0000) (multiplicity 3)
Mg (0.0000, 0.0000, 0.2411) (multiplicity 6)
Cd (0.0000, 0.0000, 0.5000) (multiplicity 3)

Values from the calculation:
The value obtained for the formation energy is -0.01 eV/atom. For the magnetization, the calculation gives 0.000 μB per atom.

***

No. 4
Compound: YMnTc2
Source: Alexandria via LeMat-Bulk
Functional: GGA-PBEsol
Structure: relaxed

Lattice parameters (Å, degrees): 6.245 6.245 6.245 90.00 90.00 90.00
Space group F-43m (No. 216)
Symmetry-distinct sites (fractional):
Y (0.000, 0.000, 0.000) (multiplicity 4)
Mn (0.250, 0.250, 0.750) (multiplicity 4)
Tc (0.000, 0.000, 0.500) (multiplicity 4)
Tc (0.250, 0.250, 0.250) (multiplicity 4)

Values from the calculation:
The value obtained for the formation energy is 0.30 eV/atom. For the magnetization, the calculation gives 0.013 μB per atom.

***

No. 5
Compound: Mg17As6O32
Source: Alexandria via LeMat-Bulk
Functional: GGA-PBEsol
Structure: relaxed

Lattice parameters (Å, degrees): 9.864 6.070 10.443 90.00 110.87 90.00
Space group P2/m (No. 10)
Symmetry-distinct sites (fractional):
Mg (0.000, 0.000, 0.000) (multiplicity 1)
Mg (0.001, 0.259, 0.740) (multiplicity 4)
Mg (0.255, 0.259, 0.504) (multiplicity 4)
Mg (0.265, 0.000, 0.754) (multiplicity 2)
Mg (0.265, 0.247, 0.005) (multiplicity 4)
Mg (0.270, 0.500, 0.258) (multiplicity 2)
As (0.000, 0.000, 0.500) (multiplicity 1)
As (0.000, 0.500, 0.000) (multiplicity 1)
As (0.422, 0.500, 0.808) (multiplicity 2)
As (0.425, 0.000, 0.311) (multiplicity 2)
O (0.116, 0.000, 0.390) (multiplicity 2)
O (0.116, 0.500, 0.892) (multiplicity 2)
O (0.117, 0.282, 0.110) (multiplicity 4)
O (0.120, 0.208, 0.614) (multiplicity 4)
O (0.133, 0.000, 0.880) (multiplicity 2)
O (0.142, 0.500, 0.368) (multiplicity 2)
O (0.367, 0.000, 0.136) (multiplicity 2)
O (0.368, 0.231, 0.368) (multiplicity 4)
O (0.368, 0.268, 0.868) (multiplicity 4)
O (0.370, 0.500, 0.635) (multiplicity 2)
O (0.387, 0.000, 0.628) (multiplicity 2)
O (0.388, 0.500, 0.128) (multiplicity 2)

Values from the calculation:
The value obtained for the formation energy (no corrections) is -2256 meV/atom. For the magnetization, the calculation gives 0.000 μB per atom.

***

No. 6
Compound: Ba3SbO
Source: Alexandria via LeMat-Bulk
Functional: GGA-PBEsol
Structure: relaxed

Lattice parameters (Å, degrees): 5.369 5.369 5.369 90.00 90.00 90.00
Space group Pm-3m (No. 221)
Symmetry-distinct sites (fractional):
Ba (0.000, 0.000, 0.500) (multiplicity 3)
Sb (0.500, 0.500, 0.500) (multiplicity 1)
O (0.000, 0.000, 0.000) (multiplicity 1)

Values from the calculation:
The value obtained for the formation energy (no corrections) is -1545 meV/atom. For the magnetization, the calculation gives 0.000 μB per atom.

***

No. 7
Compound: CoCu2W
Source: Alexandria via LeMat-Bulk
Functional: GGA-PBEsol
Structure: relaxed

Lattice parameters (Å, degrees): 5.770 5.770 5.770 90.00 90.00 90.00
Space group Fm-3m (No. 225)
Symmetry-distinct sites (fractional):
Co (0.000, 0.000, 0.000) (multiplicity 4)
Cu (0.250, 0.250, 0.250) (multiplicity 8)
W (0.000, 0.000, 0.500) (multiplicity 4)

Values from the calculation:
The value obtained for the formation energy is 0.42 eV/atom. For the polymorph energy (0 for the lowest one), the calculation gives 125.6 meV per atom. For the magnetization, the calculation gives 0.001 μB per atom.

***

No. 8
Compound: Ba2ZrP
Source: Alexandria via LeMat-Bulk
Functional: GGA-PBEsol
Structure: relaxed

Lattice parameters (Å, degrees): 19.614 3.671 3.780 90.00 101.03 90.00
Space group C2/m (No. 12)
Symmetry-distinct sites (fractional):
Ba (0.155, 0.000, 0.154) (multiplicity 4)
Zr (0.000, 0.000, 0.500) (multiplicity 2)
P (0.000, 0.500, 0.000) (multiplicity 2)

Values from the calculation:
The value obtained for the formation energy is -0.41 eV/atom. For the magnetization, the calculation gives 0.000 μB per atom.

***

No. 9
Compound: MgSbCl2
Source: Alexandria via LeMat-Bulk
Functional: GGA-PBEsol
Structure: relaxed

Lattice parameters (Å, degrees): 3.292 4.555 5.779 90.00 90.00 90.00
Space group Pmmm (No. 47)
Symmetry-distinct sites (fractional):
Mg (0.000, 0.000, 0.000) (multiplicity 1)
Sb (0.500, 0.000, 0.500) (multiplicity 1)
Cl (0.000, 0.500, 0.500) (multiplicity 1)
Cl (0.500, 0.500, 0.000) (multiplicity 1)

Values from the calculation:
For the polymorph energy (0 for the lowest one), the calculation gives 254.9 meV per atom. The value obtained for the formation energy (no corrections) is -621 meV/atom. For the magnetization, the calculation gives 0.000 μB per atom.

***

No. 10
Compound: MgCu2O4
Source: Alexandria via LeMat-Bulk
Functional: GGA-PBEsol
Structure: relaxed

Lattice parameters (Å, degrees): 3.046 9.838 9.046 90.00 90.00 90.00
Space group Pbcm (No. 57)
Symmetry-distinct sites (fractional):
Mg (0.127, 0.151, 0.250) (multiplicity 4)
Cu (0.346, 0.615, 0.570) (multiplicity 8)
O (0.006, 0.250, 0.000) (multiplicity 4)
O (0.364, 0.544, 0.117) (multiplicity 8)
O (0.370, 0.702, 0.750) (multiplicity 4)

Values from the calculation:
For the polymorph energy (0 for the lowest one), the calculation gives 9.1 meV per atom. The value obtained for the formation energy (no corrections) is -1124 meV/atom. For the magnetization, the calculation gives 0.000 μB per atom.

***

No. 11
Compound: SrMg2Tl2
Source: Alexandria via LeMat-Bulk
Functional: GGA-PBEsol
Structure: relaxed

Lattice parameters (Å, degrees): 4.655 4.655 12.845 90.00 90.00 90.00
Space group I4/mmm (No. 139)
Symmetry-distinct sites (fractional):
Sr (0.000, 0.000, 0.000) (multiplicity 2)
Mg (0.000, 0.500, 0.250) (multiplicity 4)
Tl (0.000, 0.000, 0.387) (multiplicity 4)

Values from the calculation:
The value obtained for the formation energy is -0.27 eV/atom. For the magnetization, the calculation gives 0.000 μB per atom.

***

No. 12
Compound: IrRu3
Source: Alexandria via LeMat-Bulk
Functional: GGA-PBEsol
Structure: relaxed

Lattice parameters (Å, degrees): 2.669 2.669 7.578 90.00 90.00 90.00
Space group P4/mmm (No. 123)
Symmetry-distinct sites (fractional):
Ir (0.000, 0.000, 0.000) (multiplicity 1)
Ru (0.000, 0.000, 0.500) (multiplicity 1)
Ru (0.500, 0.500, 0.252) (multiplicity 2)

Values from the calculation:
The value obtained for the formation energy is 0.04 eV/atom. For the magnetization, the calculation gives 0.000 μB per atom.

***

Which formula does entry 12 have? IrRu3

***

Number 9 is which compound? MgSbCl2

***

Number 2 is which compound? ScAs2PdSe